Run 1
A plane-wave DFT calculation with PBE was carried out for a relaxed Pm3TmTl3 crystal.

Cell lengths 9.479, 9.479, 9.479 Å; angles 90.00, 90.00, 90.00 degrees
Positions (direct):
Pm 0.673 0.673 0.673
Pm 0.823 0.677 0.323
Pm 0.177 0.177 0.177
Pm 0.432 0.568 0.068
Pm 0.327 0.173 0.827
Pm 0.068 0.432 0.568
Pm 0.173 0.827 0.327
Pm 0.932 0.932 0.932
Pm 0.827 0.327 0.173
Pm 0.323 0.823 0.677
Pm 0.568 0.068 0.432
Pm 0.677 0.323 0.823
Tm 0.924 0.076 0.576
Tm 0.576 0.924 0.076
Tm 0.424 0.424 0.424
Tm 0.076 0.576 0.924
Tl 0.243 0.132 0.502
Tl 0.998 0.757 0.632
Tl 0.757 0.632 0.998
Tl 0.002 0.257 0.868
Tl 0.502 0.243 0.132
Tl 0.498 0.743 0.368
Tl 0.868 0.002 0.257
Tl 0.132 0.502 0.243
Tl 0.368 0.498 0.743
Tl 0.257 0.868 0.002
Tl 0.743 0.368 0.498
Tl 0.632 0.998 0.757

***

Run 2
A plane-wave DFT calculation with PBE was carried out for a relaxed Pm3TmTl3 crystal.

Cell lengths 5.324, 9.555, 9.555 Å; angles 120.00, 90.00, 90.00 degrees
Positions (direct):
Tl 0.750 0.454 0.380
Tl 0.750 0.620 0.074
Tl 0.250 0.380 0.926
Tl 0.250 0.546 0.620
Tl 0.750 0.926 0.546
Tl 0.250 0.074 0.454
Tm 0.750 0.333 0.667
Tm 0.250 0.667 0.333
Pm 0.750 0.759 0.763
Pm 0.250 0.763 0.004
Pm 0.750 0.237 0.996
Pm 0.250 0.996 0.759
Pm 0.250 0.241 0.237
Pm 0.750 0.004 0.241

***

Stability summary: most stable run 1, least stable run 2.

***

Run 1
A plane-wave DFT calculation with PBE was carried out for a relaxed Pm2Tm2Tl crystal.

Cell lengths 5.445, 5.445, 12.140 Å; angles 90.00, 90.00, 120.00 degrees
Positions (direct):
Pm 0.333 0.667 0.586
Pm 0.333 0.667 0.914
Pm 0.667 0.333 0.414
Pm 0.667 0.333 0.086
Tm 0.667 0.333 0.750
Tm 0.000 0.000 0.500
Tm 0.000 0.000 0.000
Tm 0.333 0.667 0.250
Tl 0.000 0.000 0.750
Tl 0.000 0.000 0.250

***

Run 2
A plane-wave DFT calculation with PBE was carried out for a relaxed Pm2Tm2Tl crystal.

Cell lengths 5.470, 6.661, 9.522 Å; angles 103.91, 90.00, 114.25 degrees
Positions (direct):
Pm 0.841 0.682 0.949
Pm 0.159 0.318 0.051
Pm 0.022 0.045 0.339
Pm 0.978 0.955 0.661
Tm 0.478 0.955 0.157
Tm 0.522 0.045 0.843
Tm 0.352 0.704 0.447
Tm 0.648 0.296 0.553
Tl 0.254 0.508 0.733
Tl 0.746 0.492 0.267

***

Stability summary: most stable run 2, least stable run 1.

***

Run 1
A plane-wave DFT calculation with PBE was carried out for a relaxed Pm5TmTl4 crystal.

Cell lengths 8.666, 8.404, 9.326 Å; angles 90.00, 90.00, 90.00 degrees
Positions (direct):
Tm 0.085 0.500 0.500
Tm 0.915 0.000 0.000
Pm 0.734 0.262 0.694
Pm 0.266 0.238 0.194
Pm 0.266 0.762 0.194
Pm 0.671 0.500 0.000
Pm 0.734 0.738 0.306
Pm 0.266 0.762 0.806
Pm 0.734 0.262 0.306
Pm 0.329 0.000 0.500
Pm 0.266 0.238 0.806
Pm 0.734 0.738 0.694
Tl 0.566 0.168 0.000
Tl 0.566 0.832 0.000
Tl 0.434 0.668 0.500
Tl 0.999 0.000 0.667
Tl 0.001 0.500 0.167
Tl 0.001 0.500 0.833
Tl 0.434 0.332 0.500
Tl 0.999 0.000 0.333

***

Run 2
A plane-wave DFT calculation with PBE was carried out for a relaxed Pm5TmTl4 crystal.

Cell lengths 3.692, 3.692, 22.058 Å; angles 90.00, 90.00, 90.00 degrees
Positions (direct):
Pm 0.500 0.500 0.305
Pm 0.500 0.500 0.695
Pm 0.500 0.500 0.500
Pm 0.500 0.500 0.112
Pm 0.500 0.500 0.888
Tm 0.000 0.000 0.000
Tl 0.000 0.000 0.403
Tl 0.000 0.000 0.597
Tl 0.000 0.000 0.208
Tl 0.000 0.000 0.792

***

Stability summary: most stable run 2, least stable run 1.

***

Run 1
A plane-wave DFT calculation with PBE was carried out for a relaxed PmTmTlZn crystal.

Cell lengths 5.266, 5.266, 5.266 Å; angles 60.00, 60.00, 60.00 degrees
Positions (direct):
Zn 0.000 0.000 0.000
Tl 0.500 0.500 0.500
Tm 0.750 0.750 0.750
Pm 0.250 0.250 0.250

***

Run 2
A plane-wave DFT calculation with PBE was carried out for a relaxed PmTmTlZn crystal.

Cell lengths 3.682, 3.682, 7.503 Å; angles 90.00, 90.00, 90.00 degrees
Positions (direct):
Pm 0.000 0.000 0.837
Tl 0.500 0.500 0.122
Zn 0.500 0.500 0.589
Tm 0.000 0.000 0.380

***

Stability summary: most stable run 2, least stable run 1.